Material: TiMnGe2Br
Method: DFT, PBE-GGA
State: relaxed

## Properties
space group: P4/mmm (123)
DOS at the Fermi energy: 0.6477 states/eV per atom
formation energy from raw total energies: 0.094 eV/atom
size of the total moment: 0.0000 μB per atom

Lattice parameters (Å, degrees): 4.590 4.768 4.590 90.00 90.00 90.00
Positions (direct):
Mn  0.000  0.000  0.000
Br  0.500  0.500  0.500
Ti  0.000  0.500  0.000
Ge  0.500  0.000  0.000
Ge  0.000  0.000  0.500